A plane-wave DFT calculation with PBE-GGA was carried out for an optimized crystal structure of SrLiPmS3.

Cell: 4.060 8.490 8.681 Å, 101.80 90.00 90.00°
Fractional positions:
Sr: 0.250 0.179 0.228
Sr: 0.750 0.821 0.772
Li: 0.250 0.085 0.586
Li: 0.750 0.915 0.414
Pm: 0.250 0.665 0.173
Pm: 0.750 0.335 0.827
S: 0.750 0.887 0.135
S: 0.250 0.113 0.865
S: 0.250 0.798 0.495
S: 0.750 0.202 0.505
S: 0.750 0.430 0.165
S: 0.250 0.570 0.835

Output
V in Å³ per atom: 24.4
Space group: P2_1/m (11)
E in eV/atom: -5.350
ΔE_f (raw) in eV/f.u.: -11.4
Size of the total moment in μB per formula unit: 0.00